## CrCu2HgS (GGA-PBE)

Data for an optimized crystal structure of CrCu2HgS.

The structure belongs to space group P4/mmm (No. 123); the cell edges are 4.8928, 4.8928 and 4.2421 Å and the angles 90.00°, 90.00° and 90.00°. The distinct sites, in fractional coordinates, are Cr at (0.0000, 0.0000, 0.0000), Cu at (0.0000, 0.5000, 0.0000), Hg at (0.5000, 0.5000, 0.5000) and S at (0.0000, 0.0000, 0.5000).

The offset from the most stable computed form is 7.60 kcal/mol of atoms. For the formation energy without anion corrections, the calculation gives 0.5650 eV/atom.

## CrCuHgTe3 (GGA-PBE)

Data for an optimized crystal structure of CrCuHgTe3.

The structure belongs to space group P2_1/m (No. 11); the cell edges are 9.1693, 3.8303 and 10.2646 Å and the angles 90.00°, 116.53° and 90.00°. The distinct sites, in fractional coordinates, are Cr at (0.1960, 0.2500, 0.1689), Cu at (0.4199, 0.7500, 0.4029), Hg at (0.2619, 0.7500, 0.7578), Te at (0.0319, 0.2500, 0.8710), Te at (0.2595, 0.2500, 0.4543) and Te at (0.3885, 0.7500, 0.1434).

For the formation energy without anion corrections, the calculation gives -0.1065 eV/atom.

## VCr2CuHg (GGA-PBE)

Data for an optimized crystal structure of VCr2CuHg.

The structure belongs to space group P4/mmm (No. 123); the cell edges are 5.0633, 5.0633 and 5.0816 Å and the angles 90.00°, 90.00° and 90.00°. The distinct sites, in fractional coordinates, are V at (0.0000, 0.0000, 0.0000), Cr at (0.0000, 0.5000, 0.5000), Cu at (0.5000, 0.5000, 0.0000) and Hg at (0.0000, 0.0000, 0.5000).

For the formation energy, the calculation gives 1.796 eV per atom.

## CrCuHg2W (GGA-PBE)

Data for an optimized crystal structure of CrCuHg2W.

The structure belongs to space group P4/mmm (No. 123); the cell edges are 5.1014, 5.1014 and 4.4784 Å and the angles 90.00°, 90.00° and 90.00°. The distinct sites, in fractional coordinates, are Cr at (0.0000, 0.0000, 0.0000), Cu at (0.5000, 0.5000, 0.5000), Hg at (0.0000, 0.5000, 0.0000) and W at (0.0000, 0.0000, 0.5000).

For the formation energy, the calculation gives 1.433 eV per atom.

## HoCrCu4 (GGA-PBE)

Data for an optimized crystal structure of HoCrCu4.

The structure belongs to space group F-43m (No. 216); the cell edges are 7.1285, 7.1285 and 7.1285 Å and the angles 90.00°, 90.00° and 90.00°. The distinct sites, in fractional coordinates, are Ho at (0.0000, 0.0000, 0.0000), Cr at (0.2500, 0.2500, 0.7500) and Cu at (0.1239, 0.1239, 0.3761).

For the formation energy, the calculation gives -0.028 eV per atom.

## Ho2CrCu (GGA-PBE)

Data for an optimized crystal structure of Ho2CrCu.

The structure belongs to space group P4/mmm (No. 123); the cell edges are 3.4914, 3.4914 and 7.0158 Å and the angles 90.00°, 90.00° and 90.00°. The distinct sites, in fractional coordinates, are Ho at (0.0000, 0.0000, 0.2448), Cr at (0.5000, 0.5000, 0.5000) and Cu at (0.5000, 0.5000, 0.0000).

For the formation energy, the calculation gives 0.068 eV per atom.

## CrCuI4 (GGA-PBE)

Data for an optimized crystal structure of CrCuI4.

The structure belongs to space group P2/m (No. 10); the cell edges are 7.0753, 3.9786 and 7.1887 Å and the angles 90.00°, 92.84° and 90.00°. The distinct sites, in fractional coordinates, are Cr at (0.0000, 0.0000, 0.0000), Cu at (0.0000, 0.5000, 0.5000), I at (0.2065, 0.0000, 0.6833) and I at (0.2327, 0.5000, 0.1515).

For the formation energy without anion corrections, the calculation gives -0.2419 eV/atom.

## CrCuI3 (GGA-PBE)

Data for an optimized crystal structure of CrCuI3.

The structure belongs to space group Pm-3m (No. 221); the cell edges are 5.5435, 5.5435 and 5.5435 Å and the angles 90.00°, 90.00° and 90.00°. The distinct sites, in fractional coordinates, are Cr at (0.0000, 0.0000, 0.0000), Cu at (0.5000, 0.5000, 0.5000) and I at (0.0000, 0.0000, 0.5000).

The offset from the most stable computed form is 0.00 kcal/mol of atoms. For the formation energy without anion corrections, the calculation gives 0.3581 eV/atom.

## CrCu2I (GGA-PBE)

Data for an optimized crystal structure of CrCu2I.

The structure belongs to space group I-42d (No. 122); the cell edges are 7.5019, 7.5019 and 5.2738 Å and the angles 90.00°, 90.00° and 90.00°. The distinct sites, in fractional coordinates, are Cr at (0.0000, 0.0000, 0.0000), Cu at (0.2454, 0.7500, 0.1250) and I at (0.0000, 0.0000, 0.5000).

The offset from the most stable computed form is 0.00 kcal/mol of atoms. For the formation energy without anion corrections, the calculation gives 0.7080 eV/atom.

## CrCu2I (GGA-PBE)

Data for an optimized crystal structure of CrCu2I.

The structure belongs to space group Fm-3m (No. 225); the cell edges are 6.6131, 6.6131 and 6.6131 Å and the angles 90.00°, 90.00° and 90.00°. The distinct sites, in fractional coordinates, are Cr at (0.0000, 0.0000, 0.0000), Cu at (0.2500, 0.2500, 0.2500) and I at (0.0000, 0.0000, 0.5000).

The offset from the most stable computed form is 2.19 kcal/mol of atoms. For the formation energy without anion corrections, the calculation gives 0.8030 eV/atom.

## CrCuI2 (GGA-PBE)

Data for an optimized crystal structure of CrCuI2.

The structure belongs to space group Fm-3m (No. 225); the cell edges are 6.8612, 6.8612 and 6.8612 Å and the angles 90.00°, 90.00° and 90.00°. The distinct sites, in fractional coordinates, are Cr at (0.0000, 0.0000, 0.0000), Cu at (0.0000, 0.0000, 0.5000) and I at (0.2500, 0.2500, 0.2500).

The offset from the most stable computed form is 19.88 kcal/mol of atoms. For the formation energy without anion corrections, the calculation gives 0.9642 eV/atom.

## CrCu2I8 (GGA-PBE)

Data for an optimized crystal structure of CrCu2I8.

The structure belongs to space group C2/m (No. 12); the cell edges are 11.9103, 12.0027 and 6.7729 Å and the angles 90.00°, 106.71° and 90.00°. The distinct sites, in fractional coordinates, are Cr at (0.0000, 0.0000, 0.0000), Cu at (0.1919, 0.0000, 0.6648), I at (0.0795, 0.5000, 0.2055), I at (0.0895, 0.1605, 0.8044) and I at (0.2173, 0.0000, 0.3042).

For the formation energy without anion corrections, the calculation gives -0.1533 eV/atom.

## CrCu2I6 (GGA-PBE)

Data for an optimized crystal structure of CrCu2I6.

The structure belongs to space group C2/c (No. 15); the cell edges are 14.9537, 13.1638 and 7.1060 Å and the angles 90.00°, 103.25° and 90.00°. The distinct sites, in fractional coordinates, are Cr at (0.0000, 0.0764, 0.2500), Cu at (0.0599, 0.4009, 0.1393), I at (0.1054, 0.0685, 0.6201), I at (0.1150, 0.2165, 0.1393) and I at (0.1191, 0.4335, 0.5119).

For the formation energy without anion corrections, the calculation gives -0.2275 eV/atom.

## CrCuI2 (GGA-PBE)

Data for an optimized crystal structure of CrCuI2.

The structure belongs to space group I-42d (No. 122); the cell edges are 6.3236, 6.3236 and 12.4293 Å and the angles 90.00°, 90.00° and 90.00°. The distinct sites, in fractional coordinates, are Cr at (0.0000, 0.0000, 0.0000), Cu at (0.0000, 0.0000, 0.5000) and I at (0.2266, 0.2500, 0.6250).

The offset from the most stable computed form is 0.00 kcal/mol of atoms. For the formation energy without anion corrections, the calculation gives 0.1021 eV/atom.

## Cr2Cu2I (GGA-PBE)

Data for an optimized crystal structure of Cr2Cu2I.

The structure belongs to space group I4/mmm (No. 139); the cell edges are 3.5360, 3.5360 and 15.2113 Å and the angles 90.00°, 90.00° and 90.00°. The distinct sites, in fractional coordinates, are Cr at (0.0000, 0.0000, 0.1200), Cu at (0.0000, 0.5000, 0.2500) and I at (0.0000, 0.0000, 0.5000).

The offset from the most stable computed form is 0.00 kcal/mol of atoms. For the formation energy without anion corrections, the calculation gives 0.6531 eV/atom.

## Cr2Cu2I (GGA-PBE)

Data for an optimized crystal structure of Cr2Cu2I.

The structure belongs to space group P4/mbm (No. 127); the cell edges are 6.6845, 6.6845 and 3.5689 Å and the angles 90.00°, 90.00° and 90.00°. The distinct sites, in fractional coordinates, are Cr at (0.1019, 0.3981, 0.0000), Cu at (0.1756, 0.6756, 0.5000) and I at (0.0000, 0.0000, 0.0000).

The offset from the most stable computed form is 2.82 kcal/mol of atoms. For the formation energy without anion corrections, the calculation gives 0.7756 eV/atom.

## KCrCu2I6 (GGA-PBE)

Data for an optimized crystal structure of KCrCu2I6.

The structure belongs to space group C2/c (No. 15); the cell edges are 15.2696, 13.6199 and 8.4913 Å and the angles 90.00°, 113.28° and 90.00°. The distinct sites, in fractional coordinates, are K at (0.0000, 0.1529, 0.2500), Cr at (0.0000, 0.1997, 0.7500), Cu at (0.1893, 0.4463, 0.1878), I at (0.1169, 0.0800, 0.6830), I at (0.1260, 0.2675, 0.0414) and I at (0.1531, 0.4221, 0.4564).

For the formation energy without anion corrections, the calculation gives -0.3958 eV/atom.

## CrCuIN2 (GGA-PBE)

Data for an optimized crystal structure of CrCuIN2.

The structure belongs to space group P4/mmm (No. 123); the cell edges are 3.7665, 3.7665 and 6.1082 Å and the angles 90.00°, 90.00° and 90.00°. The distinct sites, in fractional coordinates, are Cr at (0.0000, 0.0000, 0.0000), Cu at (0.5000, 0.5000, 0.5000), I at (0.5000, 0.5000, 0.0000) and N at (0.0000, 0.5000, 0.5000).

The offset from the most stable computed form is 30.80 kcal/mol of atoms. For the formation energy without anion corrections, the calculation gives 1.9944 eV/atom.

## CrCuIN2 (GGA-PBE)

Data for an optimized crystal structure of CrCuIN2.

The structure belongs to space group P4/mmm (No. 123); the cell edges are 3.6857, 3.6857 and 5.7744 Å and the angles 90.00°, 90.00° and 90.00°. The distinct sites, in fractional coordinates, are Cr at (0.0000, 0.0000, 0.0000), Cu at (0.5000, 0.5000, 0.5000), I at (0.0000, 0.0000, 0.5000) and N at (0.0000, 0.5000, 0.0000).

The offset from the most stable computed form is 0.00 kcal/mol of atoms. For the formation energy without anion corrections, the calculation gives 0.6587 eV/atom.

## CrCuI2N (GGA-PBE)

Data for an optimized crystal structure of CrCuI2N.

The structure belongs to space group P4/mmm (No. 123); the cell edges are 5.5413, 5.5413 and 3.6139 Å and the angles 90.00°, 90.00° and 90.00°. The distinct sites, in fractional coordinates, are Cr at (0.0000, 0.0000, 0.0000), Cu at (0.5000, 0.5000, 0.5000), I at (0.0000, 0.5000, 0.0000) and N at (0.0000, 0.0000, 0.5000).

The offset from the most stable computed form is 0.00 kcal/mol of atoms. For the formation energy without anion corrections, the calculation gives 0.3814 eV/atom.